First-principles (PBE-GGA) data for a relaxed structure of Er2TmSe2, as listed in Alexandria.

The structure in CIF format:
```
data_Er2TmSe2
_cell_length_a 3.8642
_cell_length_b 3.8642
_cell_length_c 29.6816
_cell_angle_alpha 90.00
_cell_angle_beta 90.00
_cell_angle_gamma 120.00
_symmetry_space_group_name_H-M 'R -3 m'
_symmetry_Int_Tables_number 166
_symmetry_space_group_name_Hall '-R 3 2"'
loop_
_atom_site_label
_atom_site_type_symbol
_atom_site_fract_x
_atom_site_fract_y
_atom_site_fract_z
_atom_site_occupancy
Er1 Er 0.0000 0.0000 0.2122 1
Tm1 Tm 0.0000 0.0000 0.0000 1
Se1 Se 0.0000 0.0000 0.3913 1
```

## Properties
The calculation puts the total energy at -5.459 eV/atom. The density comes out at 8.58 g/cm3.

***

First-principles (PBE-GGA) data for a relaxed structure of Er2TmSe3, as listed in Alexandria.

The structure in CIF format:
```
data_Er2TmSe3
_cell_length_a 4.0518
_cell_length_b 5.6781
_cell_length_c 12.0586
_cell_angle_alpha 90.00
_cell_angle_beta 90.00
_cell_angle_gamma 90.00
_symmetry_space_group_name_H-M 'I m m m'
_symmetry_Int_Tables_number 71
_symmetry_space_group_name_Hall '-I 2 2'
loop_
_atom_site_label
_atom_site_type_symbol
_atom_site_fract_x
_atom_site_fract_y
_atom_site_fract_z
_atom_site_occupancy
Er1 Er 0.0000 0.0000 0.1682 1
Tm1 Tm 0.0000 0.0000 0.5000 1
Se1 Se 0.0000 0.5000 0.1651 1
Se2 Se 0.0000 0.5000 0.5000 1
```

## Properties
The calculation puts the total energy at -5.687 eV/atom. The density comes out at 8.86 g/cm3.

***

First-principles (PBE-GGA) data for a relaxed structure of Er2Tm4Se9, as listed in Alexandria.

The structure in CIF format:
```
data_Er2Tm4Se9
_cell_length_a 7.1088
_cell_length_b 7.1103
_cell_length_c 19.2908
_cell_angle_alpha 89.99
_cell_angle_beta 89.97
_cell_angle_gamma 60.03
_symmetry_space_group_name_H-M 'P -1'
_symmetry_Int_Tables_number 2
loop_
_symmetry_equiv_pos_as_xyz
'x,y,z'
'-x,-y,-z'
loop_
_atom_site_label
_atom_site_type_symbol
_atom_site_fract_x
_atom_site_fract_y
_atom_site_fract_z
_atom_site_occupancy
Er1 Er 0.0002 0.0010 0.1525 1
Er2 Er 0.0010 0.9986 0.3472 1
Tm1 Tm 0.3323 0.3336 0.8195 1
Tm2 Tm 0.3330 0.3335 0.0137 1
Tm3 Tm 0.3342 0.3332 0.3198 1
Tm4 Tm 0.3339 0.3332 0.5132 1
Se1 Se 0.0011 0.3073 0.2501 1
Se2 Se 0.0270 0.3335 0.9169 1
Se3 Se 0.0265 0.6383 0.4169 1
Se4 Se 0.3072 0.9997 0.7501 1
Se5 Se 0.3077 0.6920 0.2497 1
Se6 Se 0.3349 0.6380 0.9167 1
Se7 Se 0.3356 0.0257 0.4166 1
Se8 Se 0.3601 0.6655 0.5834 1
Se9 Se 0.3624 0.9729 0.0833 1
```

## Properties
The calculation puts the total energy at -5.736 eV/atom. The density comes out at 6.77 g/cm3.

***

First-principles (PBE-GGA) data for a relaxed structure of Er4Tm2Se9, as listed in Alexandria.

The structure in CIF format:
```
data_Er4Tm2Se9
_cell_length_a 7.1198
_cell_length_b 7.1218
_cell_length_c 19.3231
_cell_angle_alpha 89.99
_cell_angle_beta 89.97
_cell_angle_gamma 60.02
_symmetry_space_group_name_H-M 'P -1'
_symmetry_Int_Tables_number 2
loop_
_symmetry_equiv_pos_as_xyz
'x,y,z'
'-x,-y,-z'
loop_
_atom_site_label
_atom_site_type_symbol
_atom_site_fract_x
_atom_site_fract_y
_atom_site_fract_z
_atom_site_occupancy
Er1 Er 0.1658 0.1668 0.1804 1
Er2 Er 0.1661 0.1668 0.9861 1
Er3 Er 0.1670 0.1665 0.4858 1
Er4 Er 0.1677 0.1664 0.6806 1
Tm1 Tm 0.4990 0.5013 0.1533 1
Tm2 Tm 0.4997 0.4990 0.3470 1
Se1 Se 0.1401 0.5278 0.4166 1
Se2 Se 0.1423 0.8312 0.9165 1
Se3 Se 0.1678 0.4733 0.0835 1
Se4 Se 0.1683 0.8595 0.5833 1
Se5 Se 0.1944 0.8059 0.2503 1
Se6 Se 0.1950 0.5003 0.7499 1
Se7 Se 0.4723 0.1697 0.5832 1
Se8 Se 0.4727 0.8592 0.0832 1
Se9 Se 0.4990 0.1948 0.2499 1
```

## Properties
The calculation puts the total energy at -5.752 eV/atom. The density comes out at 6.72 g/cm3.

***

First-principles (PBE-GGA) data for a relaxed structure of Er3Tm4Se8, as listed in Alexandria.

The structure in CIF format:
```
data_Er3Tm4Se8
_cell_length_a 11.3471
_cell_length_b 11.3482
_cell_length_c 8.0223
_cell_angle_alpha 90.00
_cell_angle_beta 134.98
_cell_angle_gamma 90.00
_symmetry_space_group_name_H-M 'C 1 2/m 1'
_symmetry_Int_Tables_number 12
loop_
_symmetry_equiv_pos_as_xyz
'x,y,z'
'-x,-y,-z'
'-x,y,-z'
'x,-y,z'
'x+1/2,y+1/2,z'
'-x+1/2,-y+1/2,-z'
'-x+1/2,y+1/2,-z'
'x+1/2,-y+1/2,z'
loop_
_atom_site_label
_atom_site_type_symbol
_atom_site_fract_x
_atom_site_fract_y
_atom_site_fract_z
_atom_site_occupancy
Er1 Er 0.0000 0.0000 0.0000 1
Er2 Er 0.2500 0.2500 0.0000 1
Tm1 Tm 0.0000 0.5000 0.0000 1
Tm2 Tm 0.0000 0.5000 0.5000 1
Tm3 Tm 0.2500 0.2500 0.5000 1
Se1 Se 0.0000 0.2469 0.5000 1
Se2 Se 0.0000 0.2506 0.0000 1
Se3 Se 0.2475 0.0000 0.5012 1
Se4 Se 0.2476 0.0000 0.9939 1
```

## Properties
The calculation puts the total energy at -5.744 eV/atom. The density comes out at 8.22 g/cm3.

***

First-principles (PBE-GGA) data for a relaxed structure of ErTmSe2, as listed in Alexandria.

The structure in CIF format:
```
data_ErTmSe2
_cell_length_a 4.2011
_cell_length_b 9.0448
_cell_length_c 6.3516
_cell_angle_alpha 90.00
_cell_angle_beta 90.00
_cell_angle_gamma 90.00
_symmetry_space_group_name_H-M 'P m n 21'
_symmetry_Int_Tables_number 31
loop_
_symmetry_equiv_pos_as_xyz
'x,y,z'
'-x+1/2,-y,z+1/2'
'-x,y,z'
'x+1/2,-y,z+1/2'
loop_
_atom_site_label
_atom_site_type_symbol
_atom_site_fract_x
_atom_site_fract_y
_atom_site_fract_z
_atom_site_occupancy
Er1 Er 0.0000 0.0839 0.0000 1
Tm1 Tm 0.0000 0.6669 0.8614 1
Se1 Se 0.0000 0.4052 0.1082 1
Se2 Se 0.0000 0.8265 0.2269 1
```

## Properties
The calculation puts the polymorph energy (0 for the lowest one) at 1.28 eV/f.u. The density comes out at 6.80 g/cm3.

***

First-principles (PBE-GGA) data for a relaxed structure of Er6TmSe8, as listed in Alexandria.

The structure in CIF format:
```
data_Er6TmSe8
_cell_length_a 11.3756
_cell_length_b 11.3756
_cell_length_c 11.3756
_cell_angle_alpha 90.00
_cell_angle_beta 90.00
_cell_angle_gamma 90.00
_symmetry_space_group_name_H-M 'F m -3 m'
_symmetry_Int_Tables_number 225
_symmetry_space_group_name_Hall '-F 4 2 3'
loop_
_atom_site_label
_atom_site_type_symbol
_atom_site_fract_x
_atom_site_fract_y
_atom_site_fract_z
_atom_site_occupancy
Er1 Er 0.0000 0.2500 0.2500 1
Tm1 Tm 0.0000 0.0000 0.0000 1
Se1 Se 0.0000 0.0000 0.2526 1
Se2 Se 0.2500 0.2500 0.2500 1
```

## Properties
The calculation puts the total energy at -5.773 eV/atom. The density comes out at 8.14 g/cm3.

***

First-principles (PBE-GGA) data for a relaxed structure of Er4TmSe5, as listed in Alexandria.

The structure in CIF format:
```
data_Er4TmSe5
_cell_length_a 9.0035
_cell_length_b 9.0035
_cell_length_c 5.7151
_cell_angle_alpha 90.00
_cell_angle_beta 90.00
_cell_angle_gamma 90.00
_symmetry_space_group_name_H-M 'I 4/m'
_symmetry_Int_Tables_number 87
_symmetry_space_group_name_Hall '-I 4'
loop_
_atom_site_label
_atom_site_type_symbol
_atom_site_fract_x
_atom_site_fract_y
_atom_site_fract_z
_atom_site_occupancy
Er1 Er 0.0990 0.6986 0.0000 1
Tm1 Tm 0.0000 0.0000 0.5000 1
Se1 Se 0.0000 0.0000 0.0000 1
Se2 Se 0.1005 0.7018 0.5000 1
```

## Properties
The calculation puts the total energy at -5.699 eV/atom. The density comes out at 8.84 g/cm3.

***

First-principles (PBE-GGA) data for a relaxed structure of ErTm5Se6, as listed in Alexandria.

The structure in CIF format:
```
data_ErTm5Se6
_cell_length_a 6.9578
_cell_length_b 12.0919
_cell_length_c 6.9446
_cell_angle_alpha 90.00
_cell_angle_beta 109.63
_cell_angle_gamma 90.00
_symmetry_space_group_name_H-M 'C 1 2/m 1'
_symmetry_Int_Tables_number 12
loop_
_symmetry_equiv_pos_as_xyz
'x,y,z'
'-x,-y,-z'
'-x,y,-z'
'x,-y,z'
'x+1/2,y+1/2,z'
'-x+1/2,-y+1/2,-z'
'-x+1/2,y+1/2,-z'
'x+1/2,-y+1/2,z'
loop_
_atom_site_label
_atom_site_type_symbol
_atom_site_fract_x
_atom_site_fract_y
_atom_site_fract_z
_atom_site_occupancy
Er1 Er 0.0000 0.0000 0.0000 1
Tm1 Tm 0.0000 0.1653 0.5000 1
Tm2 Tm 0.0000 0.3335 0.0000 1
Tm3 Tm 0.0000 0.5000 0.5000 1
Se1 Se 0.2485 0.5000 0.2499 1
Se2 Se 0.2489 0.3325 0.7489 1
```

## Properties
The calculation puts the total energy at -5.650 eV/atom. The density comes out at 8.97 g/cm3.

***

First-principles (PBE-GGA) data for a relaxed structure of Er3TmSe6, as listed in Alexandria.

The structure in CIF format:
```
data_Er3TmSe6
_cell_length_a 11.8512
_cell_length_b 11.8512
_cell_length_c 14.1829
_cell_angle_alpha 90.00
_cell_angle_beta 90.00
_cell_angle_gamma 120.00
_symmetry_space_group_name_H-M 'R -3'
_symmetry_Int_Tables_number 148
_symmetry_space_group_name_Hall '-R 3'
loop_
_atom_site_label
_atom_site_type_symbol
_atom_site_fract_x
_atom_site_fract_y
_atom_site_fract_z
_atom_site_occupancy
Er1 Er 0.0532 0.2720 0.2014 1
Tm1 Tm 0.0000 0.0000 0.0000 1
Tm2 Tm 0.0000 0.0000 0.5000 1
Se1 Se 0.0182 0.2109 0.3959 1
Se2 Se 0.0323 0.1948 0.8756 1
```

## Properties
The calculation puts the polymorph energy (0 for the lowest one) at 0.15 eV/f.u. The density comes out at 6.61 g/cm3.

***

First-principles (PBE-GGA) data for a relaxed structure of Er2Tm3Se6, as listed in Alexandria.

The structure in CIF format:
```
data_Er2Tm3Se6
_cell_length_a 4.0618
_cell_length_b 4.0618
_cell_length_c 59.7684
_cell_angle_alpha 90.00
_cell_angle_beta 90.00
_cell_angle_gamma 120.00
_symmetry_space_group_name_H-M 'R -3 m'
_symmetry_Int_Tables_number 166
_symmetry_space_group_name_Hall '-R 3 2"'
loop_
_atom_site_label
_atom_site_type_symbol
_atom_site_fract_x
_atom_site_fract_y
_atom_site_fract_z
_atom_site_occupancy
Er1 Er 0.0000 0.0000 0.0542 1
Tm1 Tm 0.0000 0.0000 0.2197 1
Tm2 Tm 0.0000 0.0000 0.5000 1
Se1 Se 0.0000 0.0000 0.1398 1
Se2 Se 0.0000 0.0000 0.3026 1
Se3 Se 0.0000 0.0000 0.4187 1
```

## Properties
The calculation puts the polymorph energy (0 for the lowest one) at 1.06 eV/f.u. The density comes out at 7.67 g/cm3.